# KCrTeO2 (PBE with a Hubbard U, optimized geometry)
# Electronic total energy ... -4.17 eV/atom
data_KCrTeO2
_chemical_formula_sum 'K1 Cr1 Te1 O2'
_cell_length_a 4.292
_cell_length_b 4.292
_cell_length_c 6.571
_cell_angle_alpha 90.00
_cell_angle_beta 90.00
_cell_angle_gamma 90.00
_symmetry_space_group_name_H-M 'P 4/m m m'
_symmetry_Int_Tables_number 123
_symmetry_space_group_name_Hall '-P 4 2'
loop_
_atom_site_label
_atom_site_type_symbol
_atom_site_fract_x
_atom_site_fract_y
_atom_site_fract_z
_atom_site_occupancy
K1 K 0.000 0.000 0.000 1
Cr1 Cr 0.500 0.500 0.000 1
Te1 Te 0.000 0.000 0.500 1
O1 O 0.000 0.500 0.500 1